NaNbN3 | GGA-PBE | optimized geometry

```
data_NaNbN3
_space_group_name_H-M_alt 'P m -3 m'
_space_group_IT_number 221
_space_group_name_Hall '-P 4 2 3'
_cell_length_a 4.113
_cell_length_b 4.113
_cell_length_c 4.113
_cell_angle_alpha 90.00
_cell_angle_beta 90.00
_cell_angle_gamma 90.00
loop_
_atom_site_label
_atom_site_type_symbol
_atom_site_fract_x
_atom_site_fract_y
_atom_site_fract_z
Na1 Na 0.000 0.000 0.000
Nb1 Nb 0.500 0.500 0.500
N1 N 0.000 0.500 0.500
```

Output
The calculation puts the total magnetization at 2.7 μB per formula unit. The uncorrected formation energy comes out at 0.299 eV/atom. The density comes out at 3.768 g cm⁻³.